Material: CuAg
Method: DFT, GGA-PBE
State: optimized geometry

* DFT formation energy: 0.1289 eV per atom
* Fermi-level density of states: 3.33 states/eV per cell
* SG: Pnma (62)

Unit cell a=4.8549 b=4.4819 c=5.5554 alpha=90.00 beta=90.00 gamma=90.00
Sites, in units of the cell vectors:
Cu 0.0807 0.2500 0.1262
Cu 0.4193 0.7500 0.6262
Cu 0.5807 0.2500 0.3738
Cu 0.9193 0.7500 0.8738
Ag 0.1039 0.2500 0.6238
Ag 0.3961 0.7500 0.1238
Ag 0.6039 0.2500 0.8762
Ag 0.8961 0.7500 0.3762

=====

Material: CuAg2
Method: DFT, GGA-PBE
State: optimized geometry

* DFT formation energy: 0.1196 eV per atom
* Fermi-level density of states: 2.04 states/eV per cell
* distance to the lowest polymorph of the same formula: 0.037 eV/atom
* SG: Cmcm (63)

Unit cell a=7.2496 b=7.2496 c=4.5950 alpha=90.00 beta=90.00 gamma=156.35
Sites, in units of the cell vectors:
Cu 0.1060 0.8940 0.7500
Cu 0.8940 0.1060 0.2500
Ag 0.2303 0.7697 0.2500
Ag 0.4415 0.5585 0.7500
Ag 0.5585 0.4415 0.2500
Ag 0.7697 0.2303 0.7500

=====

Material: CuAg2
Method: DFT, GGA-PBE
State: optimized geometry

* DFT formation energy: 0.1072 eV per atom
* Fermi-level density of states: 2.23 states/eV per cell
* distance to the lowest polymorph of the same formula: 0.025 eV/atom
* SG: P-62m (189)

Unit cell a=7.6028 b=7.6028 c=2.8990 alpha=90.00 beta=90.00 gamma=120.00
Sites, in units of the cell vectors:
Cu 0.0000 0.0000 0.0000
Cu 0.3333 0.6667 0.5000
Cu 0.6667 0.3333 0.5000
Ag 0.0000 0.2969 0.5000
Ag 0.0000 0.6309 0.0000
Ag 0.2969 0.0000 0.5000
Ag 0.3691 0.3691 0.0000
Ag 0.6309 0.0000 0.0000
Ag 0.7031 0.7031 0.5000

=====

Material: Cu4Ag5
Method: DFT, GGA-PBE
State: optimized geometry

* DFT formation energy: 0.1728 eV per atom
* Fermi-level density of states: 6.67 states/eV per cell
* distance to the lowest polymorph of the same formula: 0.071 eV/atom
* SG: P6_3/mcm (193)

Unit cell a=7.7651 b=7.7651 c=5.3791 alpha=90.00 beta=90.00 gamma=120.00
Sites, in units of the cell vectors:
Cu 0.0000 0.0000 0.0000
Cu 0.0000 0.0000 0.5000
Cu 0.0000 0.3474 0.2500
Cu 0.0000 0.6526 0.7500
Cu 0.3474 0.0000 0.2500
Cu 0.3474 0.3474 0.7500
Cu 0.6526 0.0000 0.7500
Cu 0.6526 0.6526 0.2500
Ag 0.0000 0.3130 0.7500
Ag 0.0000 0.6870 0.2500
Ag 0.3130 0.0000 0.7500
Ag 0.3130 0.3130 0.2500
Ag 0.3333 0.6667 0.0000
Ag 0.3333 0.6667 0.5000
Ag 0.6667 0.3333 0.0000
Ag 0.6667 0.3333 0.5000
Ag 0.6870 0.0000 0.2500
Ag 0.6870 0.6870 0.7500

=====

Material: Cu5Ag3
Method: DFT, GGA-PBE
State: optimized geometry

* DFT formation energy: 0.2109 eV per atom
* Fermi-level density of states: 4.55 states/eV per cell
* SG: C2/m (12)

Unit cell a=7.5308 b=7.5308 c=7.5734 alpha=95.54 beta=95.54 gamma=143.34
Sites, in units of the cell vectors:
Cu 0.0637 0.7747 0.8263
Cu 0.2253 0.9363 0.1737
Cu 0.2485 0.2485 0.9988
Cu 0.2912 0.4624 0.7172
Cu 0.4624 0.2912 0.7172
Cu 0.5376 0.7088 0.2828
Cu 0.7088 0.5376 0.2828
Cu 0.7515 0.7515 0.0012
Cu 0.7747 0.0637 0.8263
Cu 0.9363 0.2253 0.1737
Ag 0.1853 0.1853 0.3863
Ag 0.2028 0.7972 0.5000
Ag 0.3072 0.6928 0.0000
Ag 0.6928 0.3072 0.0000
Ag 0.7972 0.2028 0.5000
Ag 0.8147 0.8147 0.6137

=====

Material: Cu3Ag5
Method: DFT, GGA-PBE
State: optimized geometry

* DFT formation energy: 0.1611 eV per atom
* Fermi-level density of states: 4.26 states/eV per cell
* distance to the lowest polymorph of the same formula: 0.000 eV/atom
* SG: C2/m (12)

Unit cell a=7.5162 b=7.5162 c=7.6737 alpha=96.18 beta=96.18 gamma=140.92
Sites, in units of the cell vectors:
Cu 0.1677 0.8323 0.0000
Cu 0.2550 0.7450 0.5000
Cu 0.3946 0.3946 0.6554
Cu 0.6054 0.6054 0.3446
Cu 0.7450 0.2550 0.5000
Cu 0.8323 0.1677 0.0000
Ag 0.0485 0.2520 0.3528
Ag 0.2295 0.2295 0.9560
Ag 0.2397 0.5900 0.8018
Ag 0.2520 0.0485 0.3528
Ag 0.4100 0.7603 0.1982
Ag 0.5900 0.2397 0.8018
Ag 0.7480 0.9515 0.6472
Ag 0.7603 0.4100 0.1982
Ag 0.7705 0.7705 0.0440
Ag 0.9515 0.7480 0.6472

=====

Material: CuAg
Method: DFT, GGA-PBE
State: optimized geometry

* DFT formation energy: 0.2364 eV per atom
* Fermi-level density of states: 1.46 states/eV per cell
* SG: Fddd (70)

Unit cell a=8.0876 b=7.4085 c=4.6151 alpha=80.93 beta=64.77 gamma=34.30
Sites, in units of the cell vectors:
Cu 0.0407 0.0407 0.2093
Cu 0.2093 0.2093 0.0407
Cu 0.7907 0.7907 0.9593
Cu 0.9593 0.9593 0.7907
Ag 0.2080 0.5420 0.2080
Ag 0.4580 0.7920 0.4580
Ag 0.5420 0.2080 0.5420
Ag 0.7920 0.4580 0.7920

=====

Material: CuAg2
Method: DFT, GGA-PBE
State: optimized geometry

* DFT formation energy: 0.1050 eV per atom
* Fermi-level density of states: 0.94 states/eV per cell
* distance to the lowest polymorph of the same formula: 0.023 eV/atom
* SG: P-3m1 (164)

Unit cell a=2.8742 b=2.8742 c=6.7758 alpha=90.00 beta=90.00 gamma=120.00
Sites, in units of the cell vectors:
Cu 0.0000 0.0000 0.0000
Ag 0.3333 0.6667 0.6814
Ag 0.6667 0.3333 0.3186

=====

Material: CuAg
Method: DFT, GGA-PBE
State: optimized geometry

* DFT formation energy: 0.9528 eV per atom
* Fermi-level density of states: 0.91 states/eV per cell
* SG: F-43m (216)

Unit cell a=4.0793 b=4.0793 c=4.0793 alpha=60.00 beta=60.00 gamma=60.00
Sites, in units of the cell vectors:
Cu 0.0000 0.0000 0.0000
Ag 0.2500 0.2500 0.2500

=====

Material: CuAg2
Method: DFT, GGA-PBE
State: optimized geometry

* DFT formation energy: 0.0822 eV per atom
* Fermi-level density of states: 0.57 states/eV per cell
* distance to the lowest polymorph of the same formula: 0.000 eV/atom
* SG: I4/mmm (139)

Unit cell a=6.2131 b=6.2131 c=6.2131 alpha=153.36 beta=153.36 gamma=38.03
Sites, in units of the cell vectors:
Cu 0.0000 0.0000 0.0000
Ag 0.3427 0.3427 0.0000
Ag 0.6573 0.6573 0.0000